No. 1
Here is a relaxed TlZnInNiAsPt crystal from Alexandria. Energies are from PBE.

Lattice parameters (Å, degrees): 3.098 3.161 11.761 90.00 91.85 90.00
Fractional coordinates of all 6 atoms:
1 Tl 0.000 0.000 0.000
2 Zn 0.356 0.500 0.483
3 In 0.395 0.500 0.766
4 Ni 0.842 0.000 0.352
5 As 0.330 0.500 0.255
6 Pt 0.871 0.000 0.608

Summary:
Space-group type: Pm, No. 6
Energy above the lowest structure with this stoichiometry in eV per formula unit: 0.09
V in Å³ per atom: 19.188
Formation energy from the elements in kJ/mol of formula units: -111

---

No. 2
Here is a relaxed TlZnInNiAsPt crystal from Alexandria. Energies are from PBE.

Lattice parameters (Å, degrees): 5.169 5.260 5.463 99.62 117.69 96.12
Fractional coordinates of all 6 atoms:
1 Tl 0.000 0.000 0.000
2 Zn 0.575 0.383 0.689
3 In 0.593 0.511 0.217
4 Ni 0.076 0.516 0.183
5 As 0.364 0.867 0.577
6 Pt 0.104 0.545 0.716

Summary:
Space-group type: P1, No. 1
Energy above the lowest structure with this stoichiometry in eV per formula unit: 0.77
V in Å³ per atom: 21.127
Formation energy from the elements in kJ/mol of formula units: -45